Density functional theory data (GGA-PBE) for TmGe3Os after structural relaxation.

a b c (Å): 6.1979 5.6253 5.6875
angles (deg): 90.00 90.00 90.00
Element x y z (fractional)
Tm  0.0000  0.1378  0.0000
Tm  0.5000  0.8622  0.5000
Ge  0.0000  0.9138  0.5514
Ge  0.2344  0.3239  0.4496
Ge  0.2656  0.6761  0.9496
Ge  0.5000  0.0862  0.0514
Ge  0.7344  0.6761  0.9496
Ge  0.7656  0.3239  0.4496
Os  0.0000  0.6164  0.2557
Os  0.5000  0.3836  0.7557

Computed properties:
spin magnetization: 0.000 μB per atom
final energy: -62.012 eV/cell